(1)
This record from the Alexandria database describes a relaxed structure of BaSrTe2. The functional is PBE.

```
data_BaSrTe2
_cell_length_a 5.247
_cell_length_b 4.507
_cell_length_c 13.349
_cell_angle_alpha 90.00
_cell_angle_beta 90.00
_cell_angle_gamma 90.00
_symmetry_space_group_name_H-M 'A m m 2'
_symmetry_Int_Tables_number 38
_symmetry_space_group_name_Hall 'A 2 -2'
loop_
_atom_site_label
_atom_site_type_symbol
_atom_site_fract_x
_atom_site_fract_y
_atom_site_fract_z
Ba1 Ba 0.000 0.000 0.000
Sr1 Sr 0.500 0.000 0.247
Te1 Te 0.000 0.000 0.737
Te2 Te 0.500 0.000 0.494
```

Summary:
**Relative energy among the computed polymorphs**: 0.546 eV/f.u.
**Raw formation energy**: -1.63 eV/atom
**Crystal system**: orthorhombic
**DFT total energy**: -4.098 eV/atom

=====

(2)
This record from the Alexandria database describes a relaxed structure of BaSr2Te. The functional is PBE.

```
data_BaSr2Te
_cell_length_a 10.827
_cell_length_b 10.827
_cell_length_c 7.272
_cell_angle_alpha 90.00
_cell_angle_beta 90.00
_cell_angle_gamma 90.00
_symmetry_space_group_name_H-M 'I -4 2 d'
_symmetry_Int_Tables_number 122
_symmetry_space_group_name_Hall 'I -4 2bw'
loop_
_atom_site_label
_atom_site_type_symbol
_atom_site_fract_x
_atom_site_fract_y
_atom_site_fract_z
Ba1 Ba 0.000 0.000 0.000
Sr1 Sr 0.159 0.250 0.625
Te1 Te 0.000 0.000 0.500
```

Summary:
**Raw formation energy**: -0.60 eV/atom
**Crystal system**: tetragonal
**DFT total energy**: -2.710 eV/atom

=====

(3)
This record from the Alexandria database describes a relaxed structure of BaSrTe2. The functional is PBE.

```
data_BaSrTe2
_cell_length_a 4.7845
_cell_length_b 4.7845
_cell_length_c 24.9603
_cell_angle_alpha 90.00
_cell_angle_beta 90.00
_cell_angle_gamma 120.00
_symmetry_space_group_name_H-M 'R 3 m'
_symmetry_Int_Tables_number 160
_symmetry_space_group_name_Hall 'R 3 -2"'
loop_
_atom_site_label
_atom_site_type_symbol
_atom_site_fract_x
_atom_site_fract_y
_atom_site_fract_z
Ba1 Ba 0.0000 0.0000 0.0000
Sr1 Sr 0.0000 0.0000 0.1692
Te1 Te 0.0000 0.0000 0.5797
Te2 Te 0.0000 0.0000 0.7564
```

Summary:
**Relative energy among the computed polymorphs**: 0.225 eV/f.u.
**Raw formation energy**: -1.71 eV/atom
**Crystal system**: trigonal
**DFT total energy**: -4.178 eV/atom

=====

(4)
This record from the Alexandria database describes a relaxed structure of Ba2SrTe. The functional is PBE.

```
data_Ba2SrTe
_cell_length_a 4.6828
_cell_length_b 4.6828
_cell_length_c 35.2285
_cell_angle_alpha 90.00
_cell_angle_beta 90.00
_cell_angle_gamma 120.00
_symmetry_space_group_name_H-M 'R -3 m'
_symmetry_Int_Tables_number 166
_symmetry_space_group_name_Hall '-R 3 2"'
loop_
_atom_site_label
_atom_site_type_symbol
_atom_site_fract_x
_atom_site_fract_y
_atom_site_fract_z
Ba1 Ba 0.0000 0.0000 0.2278
Sr1 Sr 0.0000 0.0000 0.0000
Te1 Te 0.0000 0.0000 0.5000
```

Summary:
**Raw formation energy**: -0.77 eV/atom
**Crystal system**: trigonal
**DFT total energy**: -2.938 eV/atom

=====

(5)
This record from the Alexandria database describes a relaxed structure of BaSr2Te. The functional is PBE.

```
data_BaSr2Te
_cell_length_a 4.285
_cell_length_b 6.270
_cell_length_c 13.886
_cell_angle_alpha 90.00
_cell_angle_beta 90.00
_cell_angle_gamma 90.00
_symmetry_space_group_name_H-M 'I m m m'
_symmetry_Int_Tables_number 71
_symmetry_space_group_name_Hall '-I 2 2'
loop_
_atom_site_label
_atom_site_type_symbol
_atom_site_fract_x
_atom_site_fract_y
_atom_site_fract_z
Ba1 Ba 0.000 0.000 0.000
Sr1 Sr 0.000 0.500 0.192
Te1 Te 0.000 0.000 0.500
```

Summary:
**Raw formation energy**: -0.75 eV/atom
**Crystal system**: orthorhombic
**DFT total energy**: -2.854 eV/atom

=====

(6)
This record from the Alexandria database describes a relaxed structure of BaSrTe2. The functional is PBE.

```
data_BaSrTe2
_cell_length_a 4.8805
_cell_length_b 4.8805
_cell_length_c 23.9172
_cell_angle_alpha 90.00
_cell_angle_beta 90.00
_cell_angle_gamma 120.00
_symmetry_space_group_name_H-M 'R -3 m'
_symmetry_Int_Tables_number 166
_symmetry_space_group_name_Hall '-R 3 2"'
loop_
_atom_site_label
_atom_site_type_symbol
_atom_site_fract_x
_atom_site_fract_y
_atom_site_fract_z
Ba1 Ba 0.0000 0.0000 0.0000
Sr1 Sr 0.0000 0.0000 0.5000
Te1 Te 0.0000 0.0000 0.2456
```

Summary:
**Relative energy among the computed polymorphs**: 0.000 eV/f.u.
**Raw formation energy**: -1.76 eV/atom
**Crystal system**: trigonal
**DFT total energy**: -4.234 eV/atom

=====

(7)
This record from the Alexandria database describes a relaxed structure of BaSr3Te. The functional is PBE.

```
data_BaSr3Te
_cell_length_a 6.529
_cell_length_b 6.529
_cell_length_c 6.529
_cell_angle_alpha 90.00
_cell_angle_beta 90.00
_cell_angle_gamma 90.00
_symmetry_space_group_name_H-M 'P m -3 m'
_symmetry_Int_Tables_number 221
_symmetry_space_group_name_Hall '-P 4 2 3'
loop_
_atom_site_label
_atom_site_type_symbol
_atom_site_fract_x
_atom_site_fract_y
_atom_site_fract_z
Ba1 Ba 0.000 0.000 0.000
Sr1 Sr 0.000 0.500 0.500
Te1 Te 0.500 0.500 0.500
```

Summary:
**Relative energy among the computed polymorphs**: 0.000 eV/f.u.
**Raw formation energy**: -0.48 eV/atom
**Crystal system**: cubic
**DFT total energy**: -2.503 eV/atom

=====

(8)
This record from the Alexandria database describes a relaxed structure of BaSr3Te. The functional is PBE.

```
data_BaSr3Te
_cell_length_a 6.577
_cell_length_b 6.577
_cell_length_c 6.577
_cell_angle_alpha 90.00
_cell_angle_beta 90.00
_cell_angle_gamma 90.00
_symmetry_space_group_name_H-M 'P m -3 m'
_symmetry_Int_Tables_number 221
_symmetry_space_group_name_Hall '-P 4 2 3'
loop_
_atom_site_label
_atom_site_type_symbol
_atom_site_fract_x
_atom_site_fract_y
_atom_site_fract_z
Ba1 Ba 0.000 0.000 0.000
Sr1 Sr 0.000 0.000 0.500
Te1 Te 0.500 0.500 0.500
```

Summary:
**Relative energy among the computed polymorphs**: 5.578 eV/f.u.
**Raw formation energy**: 0.63 eV/atom
**Crystal system**: cubic
**DFT total energy**: -1.387 eV/atom

=====

(9)
This record from the Alexandria database describes a relaxed structure of BaSr2Te2. The functional is PBE.

```
data_BaSr2Te2
_cell_length_a 9.158
_cell_length_b 9.158
_cell_length_c 4.616
_cell_angle_alpha 90.00
_cell_angle_beta 90.00
_cell_angle_gamma 90.00
_symmetry_space_group_name_H-M 'P 4/m b m'
_symmetry_Int_Tables_number 127
_symmetry_space_group_name_Hall '-P 4 2ab'
loop_
_atom_site_label
_atom_site_type_symbol
_atom_site_fract_x
_atom_site_fract_y
_atom_site_fract_z
Ba1 Ba 0.000 0.000 0.000
Sr1 Sr 0.155 0.345 0.500
Te1 Te 0.149 0.649 0.000
```

Summary:
**Relative energy among the computed polymorphs**: 0.000 eV/f.u.
**Raw formation energy**: -1.26 eV/atom
**Crystal system**: tetragonal
**DFT total energy**: -3.574 eV/atom

=====

(10)
This record from the Alexandria database describes a relaxed structure of BaSrTe2. The functional is PBE.

```
data_BaSrTe2
_cell_length_a 5.3360
_cell_length_b 5.3360
_cell_length_c 28.7524
_cell_angle_alpha 90.00
_cell_angle_beta 90.00
_cell_angle_gamma 120.00
_symmetry_space_group_name_H-M 'R -3 m'
_symmetry_Int_Tables_number 166
_symmetry_space_group_name_Hall '-R 3 2"'
loop_
_atom_site_label
_atom_site_type_symbol
_atom_site_fract_x
_atom_site_fract_y
_atom_site_fract_z
Ba1 Ba 0.0000 0.0000 0.0000
Sr1 Sr 0.0000 0.0000 0.5000
Te1 Te 0.0000 0.0000 0.3948
```

Summary:
**Relative energy among the computed polymorphs**: 2.659 eV/f.u.
**Raw formation energy**: -1.10 eV/atom
**Crystal system**: trigonal
**DFT total energy**: -3.570 eV/atom

=====

(11)
This record from the Alexandria database describes a relaxed structure of Ba2SrTe. The functional is PBE.

```
data_Ba2SrTe
_cell_length_a 5.970
_cell_length_b 5.993
_cell_length_c 11.139
_cell_angle_alpha 90.00
_cell_angle_beta 90.00
_cell_angle_gamma 90.00
_symmetry_space_group_name_H-M 'C m m 2'
_symmetry_Int_Tables_number 35
_symmetry_space_group_name_Hall 'C 2 -2'
loop_
_atom_site_label
_atom_site_type_symbol
_atom_site_fract_x
_atom_site_fract_y
_atom_site_fract_z
Ba1 Ba 0.000 0.000 0.000
Ba2 Ba 0.000 0.500 0.336
Sr1 Sr 0.000 0.500 0.691
Te1 Te 0.000 0.000 0.522
```

Summary:
**Raw formation energy**: -0.74 eV/atom
**Crystal system**: orthorhombic
**DFT total energy**: -2.911 eV/atom

=====

(12)
This record from the Alexandria database describes a relaxed structure of BaSrTe2. The functional is PBE.

```
data_BaSrTe2
_cell_length_a 5.912
_cell_length_b 5.912
_cell_length_c 4.179
_cell_angle_alpha 90.00
_cell_angle_beta 90.00
_cell_angle_gamma 90.00
_symmetry_space_group_name_H-M 'P 4/m m m'
_symmetry_Int_Tables_number 123
_symmetry_space_group_name_Hall '-P 4 2'
loop_
_atom_site_label
_atom_site_type_symbol
_atom_site_fract_x
_atom_site_fract_y
_atom_site_fract_z
Ba1 Ba 0.000 0.000 0.000
Sr1 Sr 0.500 0.500 0.000
Te1 Te 0.000 0.500 0.500
```

Summary:
**Relative energy among the computed polymorphs**: 0.844 eV/f.u.
**Raw formation energy**: -1.55 eV/atom
**Crystal system**: tetragonal
**DFT total energy**: -4.023 eV/atom